A plane-wave DFT calculation with PBE was carried out for TaFeSbI2 after structural relaxation.

a b c (Å): 5.4891 5.4891 5.5111
angles (deg): 90.00 90.00 90.00
Closest atoms and distances in Å follow each position.
Positions (direct):
Sb: 0.0000 0.0000 0.5000  2 Ta 2.76
I: 0.0000 0.5000 0.0000  2 Ta 2.74
I: 0.5000 0.0000 0.0000  2 Ta 2.74
Ta: 0.0000 0.0000 0.0000  4 I 2.74, 2 Sb 2.76
Fe: 0.5000 0.5000 0.5000  4 Sb 3.88, 8 I 3.89

Computed properties:
* total energy: -4.50 eV per atom
* N(E_F): 1.559 states/eV/atom
* distance to the lowest polymorph of the same formula: 0 meV per atom
* magnetization: 3.99 μB/cell
* SG: P4/mmm, No. 123



A plane-wave DFT calculation with PBE was carried out for TaFeSb2I after structural relaxation.

a b c (Å): 5.7347 5.0028 5.7347
angles (deg): 90.00 90.00 90.00
Closest atoms and distances in Å follow each position.
Positions (direct):
I: 0.0000 0.0000 0.0000  2 Ta 2.50
Ta: 0.0000 0.5000 0.0000  2 I 2.50
Fe: 0.5000 0.5000 0.5000  8 Sb 3.81, 4 Ta 4.06
Sb: 0.5000 0.0000 0.0000  2 I 2.87
Sb: 0.0000 0.0000 0.5000  2 I 2.87

Computed properties:
* total energy: -3.59 eV per atom
* N(E_F): 1.817 states/eV/atom
* distance to the lowest polymorph of the same formula: 1408 meV per atom
* magnetization: 0.38 μB/cell
* SG: P4/mmm, No. 123



A plane-wave DFT calculation with PBE was carried out for TaFeSb2I after structural relaxation.

a b c (Å): 5.3496 5.3496 5.6300
angles (deg): 90.00 90.00 90.00
Closest atoms and distances in Å follow each position.
Positions (direct):
I: 0.0000 0.0000 0.5000  2 Ta 2.81
Sb: 0.5000 0.0000 0.0000  2 Ta 2.67
Sb: 0.0000 0.5000 0.0000  2 Ta 2.67
Ta: 0.0000 0.0000 0.0000  4 Sb 2.67, 2 I 2.81
Fe: 0.5000 0.5000 0.5000  4 I 3.78, 8 Sb 3.88

Computed properties:
* total energy: -5.00 eV per atom
* N(E_F): 1.416 states/eV/atom
* distance to the lowest polymorph of the same formula: 0 meV per atom
* magnetization: 4.08 μB/cell
* SG: P4/mmm, No. 123